! YEr3Rh3 | Alexandria via LeMat-Bulk | GGA-PBE | relaxed; values from VASP
! Volume ... 315.5 Å³ per cell
! Total energy ... -6.78 eV per atom
! DOS at the Fermi energy ... 0.435 states/eV/atom
! Total moment ... 0.0 μB per cell
! Density ... 9.47 g cm⁻³
! ΔE_f ... -0.753 eV/atom
! SG ... C2/m (12)
&SYSTEM
  ibrav = 0, nat = 14, ntyp = 3
/
ATOMIC_SPECIES
Rh 102.91 Rh.upf
Er 167.26 Er.upf
Y 88.91 Y.upf
ATOMIC_POSITIONS angstrom
Rh 4.981 8.042 2.464
Rh -1.045 2.987 5.158
Rh -0.216 -0.349 4.955
Rh 3.140 0.395 5.158
Rh 5.810 4.706 2.261
Rh 1.625 7.298 2.261
Er 0.307 5.455 0.393
Er 0.251 5.167 3.710
Er 4.514 2.526 3.710
Er 3.670 5.925 3.907
Er 1.095 1.768 3.513
Er 4.747 2.705 0.393
Y 1.304 2.105 0.206
Y 3.461 5.589 7.214
CELL_PARAMETERS angstrom
6.711 1.489 0.393
-1.657 6.672 0.393
-0.289 -0.467 6.634